Crystalline Sc2Te2O at its relaxed geometry, computed with GGA-PBE.

Calculated values
As for the space group: Ibam (72). For the distance to the lowest polymorph of the same formula, the calculation gives 0 meV per atom. The formation energy without anion corrections comes out at -1870.0 meV per atom. The calculation puts the calculated density at 5.458 g cm⁻³.

a = 7.0834 Å, b = 7.0834 Å, c = 7.0834 Å
α = 119.47°, β = 80.18°, γ = 132.74°
With the nearest neighbours (Å) after each atom.
Positions (direct):
Sc1 0.0815 0.1914 0.2729  2 O 2.16
Sc2 0.4185 0.6914 0.1099  2 O 2.16
Sc3 0.5815 0.3086 0.8901  2 O 2.16
Sc4 0.9185 0.8086 0.7271  2 O 2.16
Te1 0.1504 0.6257 0.7761  2 Sc 2.83-2.94
Te2 0.3496 0.1257 0.4753  2 Sc 2.83-2.94
Te3 0.6504 0.8743 0.5247  2 Sc 2.83-2.94
Te4 0.8496 0.3743 0.2239  2 Sc 2.83-2.94
O1 0.2500 0.2500 0.0000  4 Sc 2.16
O2 0.7500 0.7500 0.0000  4 Sc 2.16


Crystalline CaTlSiTeSeF at its relaxed geometry, computed with GGA-PBE.

Calculated values
As for the space group: Cm (8). For the distance to the lowest polymorph of the same formula, the calculation gives 0 meV per atom. The formation energy without anion corrections comes out at -1263.6 meV per atom. The calculation puts the calculated density at 4.900 g cm⁻³.

a = 7.1464 Å, b = 7.1464 Å, c = 6.3723 Å
α = 100.09°, β = 100.09°, γ = 31.84°
With the nearest neighbours (Å) after each atom.
Positions (direct):
Ca1 0.0000 0.0000 0.0000  2 F 2.22
Tl1 0.7016 0.7016 0.6417  1 F 3.10, 2 Se 3.15, 2 Si 3.42
Si1 0.3281 0.3281 0.3419  1 Se 2.35
Te1 0.9604 0.9604 0.4775  2 Si 2.71
Se1 0.3274 0.3274 0.9725  1 Si 2.35
F1 0.5751 0.5751 0.9983  2 Ca 2.22


Crystalline SmTm at its relaxed geometry, computed with GGA-PBE.

Calculated values
As for the space group: Pm-3m (221). The calculation puts the formation energy at 0.10 eV/atom. For the distance to the lowest polymorph of the same formula, the calculation gives 92 meV per atom. The calculation puts the calculated density at 8.206 g cm⁻³.

a = 4.0127 Å, b = 4.0127 Å, c = 4.0127 Å
α = 90.00°, β = 90.00°, γ = 90.00°
With the nearest neighbours (Å) after each atom.
Positions (direct):
Sm1 0.0000 0.0000 0.0000  8 Tm 3.48
Tm1 0.5000 0.5000 0.5000  8 Sm 3.48


Crystalline Li4Nd3SbTeO12 at its relaxed geometry, computed with GGA-PBE.

Calculated values
As for the space group: P1 (1). The formation energy without anion corrections comes out at -2327.3 meV per atom. The calculation puts the calculated density at 5.704 g cm⁻³.

a = 11.0295 Å, b = 11.0837 Å, c = 11.0843 Å
α = 109.04°, β = 109.49°, γ = 109.31°
With the nearest neighbours (Å) after each atom.
Positions (direct):
Li1 0.0000 0.0000 0.0000  4 O 1.94-2.03
Li2 0.0015 0.6338 0.8827  4 O 1.95-2.00
Li3 0.0732 0.6290 0.3078  3 O 1.95-2.10
Li4 0.2358 0.1291 0.6200  4 O 1.85-1.93
Li5 0.2474 0.9296 0.5606  3 O 1.92-2.13
Li6 0.2944 0.7460 0.5338  2 O 1.81
Li7 0.3797 0.7543 0.8824  4 O 1.95-2.01
Li8 0.3826 0.2594 0.3797  4 O 1.97-2.03
Li9 0.3884 0.3400 0.8176  2 O 1.87-1.99
Li10 0.5027 0.6316 0.3806  4 O 1.94-2.02
Li11 0.5216 0.5316 0.0365  3 O 1.83-1.99
Li12 0.7294 0.1844 0.3022  2 O 1.88-1.90
Li13 0.7587 0.2692 0.5307  3 O 1.83-1.98
Li14 0.7663 0.1269 0.1096  3 O 1.81-1.94
Li15 0.8484 0.4910 0.1118  3 O 1.81-1.98
Li16 0.8845 0.0111 0.6307  4 O 1.94-1.99
Nd1 0.0021 0.5091 0.5115  7 O 2.35-2.58
Nd2 0.0033 0.1271 0.3781  8 O 2.37-2.63
Nd3 0.2562 0.2571 0.0136  7 O 2.43-2.64
Nd4 0.2648 0.6331 0.1250  6 O 2.40-2.62
Nd5 0.3780 0.0056 0.1278  8 O 2.42-2.62
Nd6 0.3858 0.5137 0.6305  6 O 2.38-2.55
Nd7 0.5135 0.1345 0.8847  7 O 2.40-2.60
Nd8 0.5151 0.0041 0.5032  6 O 2.37-2.52
Nd9 0.7453 0.7540 0.9940  6 O 2.41-2.52
Nd10 0.7483 0.6334 0.6317  7 O 2.44-2.65
Nd11 0.8668 0.7542 0.3778  7 O 2.41-2.68
Nd12 0.8710 0.2528 0.8741  8 O 2.41-2.67
Sb1 0.6255 0.3828 0.7548  6 O 2.01-2.06
Sb2 0.6288 0.3821 0.2516  6 O 2.01-2.05
Sb3 0.6318 0.8846 0.7529  6 O 2.00-2.07
Sb4 0.6334 0.8874 0.2582  6 O 2.01-2.03
Te1 0.1231 0.3753 0.2504  6 O 1.94-1.98
Te2 0.1263 0.3812 0.7538  6 O 1.94-1.99
Te3 0.1288 0.8792 0.7542  6 O 1.95-2.01
Te4 0.1306 0.8802 0.2558  6 O 1.94-2.00
O1 0.0081 0.9502 0.1621  1 Te 1.95, 1 Li 2.03
O2 0.0101 0.6871 0.7288  1 Te 1.96, 1 Li 2.00
O3 0.0302 0.4578 0.1400  2 Li 1.95-2.10, 1 Te 1.97
O4 0.0385 0.2152 0.7815  1 Te 1.95, 1 Li 1.97
O5 0.0493 0.2080 0.0632  1 Te 1.94, 1 Li 1.99
O6 0.0560 0.4784 0.8718  1 Te 1.94, 1 Li 1.98
O7 0.1111 0.9725 0.4290  2 Li 1.86-2.02, 1 Te 1.98
O8 0.1180 0.7659 0.5635  2 Li 1.92-2.15, 1 Te 2.01
O9 0.1509 0.9990 0.9434  1 Te 1.96, 1 Li 1.97
O10 0.1554 0.7845 0.0906  1 Te 1.95, 1 Li 2.00
O11 0.1894 0.5480 0.4338  1 Li 1.81, 1 Te 1.97
O12 0.2084 0.2893 0.6439  2 Li 1.85-1.99, 1 Te 1.97
O13 0.2201 0.5481 0.7281  1 Te 1.96, 1 Li 2.01
O14 0.2225 0.3087 0.3732  1 Te 1.95, 1 Li 2.00
O15 0.2446 0.0617 0.7609  1 Li 1.93, 1 Te 1.96
O16 0.2465 0.8091 0.3661  3 Li 1.97-2.16, 1 Te 2.00
O17 0.2931 0.4713 0.2257  1 Te 1.98, 1 Li 2.02
O18 0.3035 0.4519 0.9414  1 Te 1.99, 2 Li 1.99-2.19
O19 0.3185 0.9003 0.8720  1 Te 1.95, 1 Li 1.97
O20 0.3198 0.0476 0.3298  1 Te 1.94, 1 Li 2.03
O21 0.4286 0.2572 0.2225  1 Li 1.97, 1 Sb 2.03
O22 0.4326 0.8044 0.0850  1 Li 1.95, 1 Sb 2.02
O23 0.4419 0.2006 0.6916  2 Li 1.90-2.11, 1 Sb 2.02
O24 0.4596 0.9220 0.6659  1 Li 1.81
O25 0.5058 0.3571 0.0510  1 Li 1.95, 1 Sb 2.05
O26 0.5098 0.7903 0.3338  1 Li 1.98, 1 Sb 2.02
O27 0.5353 0.4120 0.5833  1 Li 1.97, 1 Sb 2.02
O28 0.5357 0.7654 0.8327  1 Li 1.95, 1 Sb 2.03
O29 0.5415 0.6847 0.5795  1 Li 1.94, 1 Sb 2.02
O30 0.5449 0.5050 0.8514  2 Li 1.87-2.09, 1 Sb 2.06
O31 0.6084 0.0630 0.3491  2 Li 1.90-2.07, 1 Sb 2.03
O32 0.6091 0.1839 0.1348  2 Li 1.88-2.10, 1 Sb 2.05
O33 0.6551 0.5774 0.3764  1 Li 1.97, 1 Sb 2.01
O34 0.6684 0.7224 0.1671  1 Li 1.83, 1 Sb 2.01
O35 0.6978 0.2551 0.6628  1 Li 1.83, 1 Sb 2.01
O36 0.7135 0.0830 0.9209  1 Li 1.81, 1 Sb 2.00
O37 0.7167 0.3499 0.9225  1 Li 1.81, 1 Sb 2.01
O38 0.7248 0.0014 0.6717  1 Li 1.94, 1 Sb 2.01
O39 0.7497 0.3877 0.4388  1 Li 1.91, 1 Sb 2.03
O40 0.7534 0.9975 0.1888  1 Li 1.90, 1 Sb 2.01
O41 0.7984 0.5809 0.8358  1 Li 1.95, 1 Sb 2.02
O42 0.8011 0.8517 0.8428  1 Li 1.94, 1 Sb 2.01
O43 0.8329 0.5071 0.2833  1 Li 1.92, 1 Sb 2.05
O44 0.8331 0.9657 0.4297  1 Li 1.94, 1 Sb 2.02
O45 0.9392 0.8581 0.6355  1 Te 1.95, 1 Li 1.99
O46 0.9521 0.7064 0.1951  1 Te 1.95, 2 Li 1.98-2.10
O47 0.9555 0.2842 0.2784  1 Li 1.94, 1 Te 1.97
O48 0.9568 0.3026 0.5611  1 Te 1.96, 1 Li 1.98